Er2HfTaN4 (PBE, optimized geometry); energy = -9.6505 eV per atom; SG = No. 10
1.0
-3.052 0.937 -0.621
-1.951 -4.505 2.790
0.596 4.361 3.650
Er Hf Ta N
2 1 1 4
Cartesian
-1.228 2.649 1.515
-0.677 -0.072 3.220
-2.501 -1.784 1.085
0.000 0.000 0.000
-1.859 0.378 1.189
-2.548 0.414 4.630
-0.039 2.209 3.527
-1.315 -2.354 2.913

TbErHf2N4 (PBE, optimized geometry); energy = -9.5399 eV per atom; SG = No. 119
1.0
-1.082 3.493 2.968
-0.968 -3.155 3.361
5.476 -0.008 -1.732
Tb Er Hf N
1 1 2 4
Cartesian
1.684 1.827 2.200
-1.025 0.169 3.164
1.742 -1.497 2.397
0.000 0.000 0.000
-0.391 -1.574 1.710
3.874 -1.419 3.084
1.278 0.253 3.906
2.148 0.078 0.692

Tb2ErHfN4 (PBE, optimized geometry); energy = -8.8945 eV per atom; SG = No. 10
1.0
-0.584 -0.515 3.293
-0.580 -5.757 -1.003
5.644 1.199 1.188
Tb Er Hf N
2 1 1 4
Cartesian
2.530 0.342 2.241
2.532 -2.279 0.093
-0.582 -3.136 1.145
0.000 0.000 0.000
0.869 -1.323 1.686
3.611 -3.750 1.793
4.174 -0.478 0.665
0.890 -4.080 -0.480

TbEr3Hf2N6 (PBE, optimized geometry); energy = -9.1398 eV per atom; SG = No. 12
1.0
3.346 0.000 0.000
0.000 6.726 0.238
-1.673 -1.940 7.043
Tb Er Hf N
1 3 2 6
Cartesian
1.673 0.000 0.000
1.673 3.363 0.119
1.673 -0.169 4.735
0.000 4.955 2.546
1.673 3.183 4.845
0.000 1.602 2.436
0.000 4.759 4.868
1.673 3.182 2.557
1.673 0.027 2.413
0.000 1.710 0.179
1.673 3.075 7.101
0.000 1.603 4.724

TbEr2HfN4 (PBE, optimized geometry); energy = -8.9041 eV per atom; SG = No. 10
1.0
-2.196 -1.726 1.890
2.721 -4.997 -1.402
2.419 2.218 4.836
Tb Er Hf N
1 2 1 4
Cartesian
0.263 -3.361 0.244
0.111 0.246 3.363
2.570 -1.389 1.717
0.000 0.000 0.000
0.109 -1.504 1.762
2.835 -3.001 3.562
2.474 0.492 3.324
2.665 -3.271 0.110

ErHfTiN3 (PBE, optimized geometry); energy = -9.3395 eV per atom; SG = No. 11
1.0
-0.990 -1.576 -2.556
-4.157 -3.464 3.746
-5.620 5.802 -1.400
Er Hf Ti N
2 2 2 6
Cartesian
-8.910 0.555 0.176
-1.857 0.208 -0.386
-3.618 -1.847 1.563
-7.149 2.610 -1.773
-4.104 2.368 -0.848
-6.663 -1.606 0.638
-7.026 0.015 1.734
-5.154 -3.310 1.104
-3.096 -1.835 -0.603
-3.741 0.747 -1.945
-7.671 2.597 0.392
-5.613 4.072 -1.314

ErHf2TiN4 (PBE, optimized geometry); energy = -9.9295 eV per atom; SG = No. 74
1.0
-3.596 -5.235 -1.054
4.482 -3.651 2.834
-2.492 5.011 3.136
Er Hf Ti N
2 4 2 8
Cartesian
2.241 -1.825 1.417
-2.601 -4.555 1.931
-1.798 -2.618 -0.527
-3.044 -0.112 1.041
3.236 -1.145 4.402
0.443 -4.443 0.890
-0.803 -1.937 2.458
-3.596 -5.235 -1.054
2.438 -4.097 1.923
-2.807 -2.285 1.422
1.200 -1.590 3.495
-4.044 0.222 2.994
-1.778 -1.644 4.494
-0.533 -4.149 2.927
-1.073 0.274 1.989
0.172 -2.231 0.422

ErTmHf2N4 (PBE, optimized geometry); energy = -9.6146 eV per atom; SG = No. 10
1.0
-1.520 0.239 -2.905
0.218 -5.653 -0.579
-4.879 1.452 2.672
Er Tm Hf N
1 1 2 4
Cartesian
0.000 0.000 0.000
-0.651 -2.707 -1.742
-3.200 0.845 -0.116
-2.331 -2.101 1.047
-2.020 -0.944 -0.881
-4.161 -3.019 0.069
-3.514 -0.323 1.812
-1.147 -3.879 0.281

| no. | calculated density (g/cm3) | DOS(E_F) (states/eV per atom) |
| --- | --- | --- |
| 1 | 12.56 | 0.194 |
| 2 | 11.83 | 0.213 |
| 3 | 10.81 | 0.131 |
| 4 | 11.43 | 0.212 |
| 5 | 11.09 | 0.137 |
| 6 | 8.49 | 0.508 |
| 7 | 11.06 | 0.247 |
| 8 | 12.27 | 0.384 |